DFT (SCAN) results for a crystal of SrAg2Sb2 relaxed with PBEsol.

Calculated values
VASP energy = -32.362 eV/atom
D(E_F) = 0.441 states/eV per atom
Total magnetization = 0.00 μB per cell
Energy relative to the elements, uncorrected = -0.46 eV per atom

Unit cell a=4.5426 b=4.5426 c=12.3519 alpha=90.00 beta=90.00 gamma=90.00
Space group I4/mmm (No. 139)
One atom of each set of equivalent atoms:
Sr1 0.0000 0.0000 0.0000 x2
Ag1 0.0000 0.5000 0.2500 x4
Sb1 0.0000 0.0000 0.3809 x4



DFT (SCAN) results for a crystal of SrAg4Sb2 relaxed with PBEsol.

Calculated values
VASP energy = -32.104 eV/atom
D(E_F) = 0.132 states/eV per atom
Total magnetization = 0.00 μB per cell
Energy relative to the elements, uncorrected = -0.35 eV per atom

Unit cell a=4.6758 b=4.6758 c=24.8277 alpha=90.00 beta=90.00 gamma=120.00
Space group R-3m (No. 166, hexagonal axes)
One atom of each set of equivalent atoms:
Sr1 0.0000 0.0000 0.0000 x3
Ag1 0.0000 0.0000 0.1428 x6
Ag2 0.0000 0.0000 0.4367 x6
Sb1 0.0000 0.0000 0.2555 x6



DFT (SCAN) results for a crystal of TaAgSb2 relaxed with PBEsol.

Calculated values
VASP energy = -42.746 eV/atom
D(E_F) = 0.609 states/eV per atom
Total magnetization = 0.00 μB per cell
Energy relative to the elements, uncorrected = 0.37 eV per atom

Unit cell a=9.6454 b=3.0643 c=5.6259 alpha=90.00 beta=96.15 gamma=90.00
Space group C2/m (No. 12)
One atom of each set of equivalent atoms:
Ta1 0.0000 0.0000 0.0000 x2
Ag1 0.0000 0.5000 0.5000 x2
Sb1 0.2332 0.5000 0.2358 x4



DFT (SCAN) results for a crystal of TaAgSb2 relaxed with PBEsol.

Calculated values
VASP energy = -42.565 eV/atom
D(E_F) = 0.128 states/eV per atom
Total magnetization = 0.00 μB per cell
Energy relative to the elements, uncorrected = 0.55 eV per atom

Unit cell a=6.3067 b=6.3067 c=12.1229 alpha=90.00 beta=90.00 gamma=90.00
Space group I-42d (No. 122)
One atom of each set of equivalent atoms:
Ta1 0.0000 0.0000 0.0000 x4
Ag1 0.0000 0.0000 0.5000 x4
Sb1 0.2414 0.2500 0.1250 x8



DFT (SCAN) results for a crystal of TaAgSb2 relaxed with PBEsol.

Calculated values
VASP energy = -42.681 eV/atom
D(E_F) = 0.487 states/eV per atom
Total magnetization = 0.00 μB per cell
Energy relative to the elements, uncorrected = 0.44 eV per atom

Unit cell a=4.0727 b=4.0727 c=9.8243 alpha=90.00 beta=90.00 gamma=90.00
Space group I-4m2 (No. 119)
One atom of each set of equivalent atoms:
Ta1 0.0000 0.0000 0.0000 x2
Ag1 0.0000 0.5000 0.2500 x2
Sb1 0.0000 0.0000 0.5000 x2
Sb2 0.0000 0.5000 0.7500 x2



DFT (SCAN) results for a crystal of TaAgSb2 relaxed with PBEsol.

Calculated values
VASP energy = -42.893 eV/atom
D(E_F) = 0.414 states/eV per atom
Total magnetization = 0.00 μB per cell
Energy relative to the elements, uncorrected = 0.22 eV per atom

Unit cell a=3.7923 b=3.7923 c=5.7516 alpha=90.00 beta=90.00 gamma=90.00
Space group P4mm (No. 99)
One atom of each set of equivalent atoms:
Ta1 0.0000 0.0000 0.0000 x1
Ag1 0.5000 0.5000 0.3032 x1
Sb1 0.0000 0.0000 0.4758 x1
Sb2 0.5000 0.5000 0.8260 x1



DFT (SCAN) results for a crystal of TaAgSb2 relaxed with PBEsol.

Calculated values
VASP energy = -42.944 eV/atom
D(E_F) = 0.632 states/eV per atom
Total magnetization = 0.00 μB per cell
Energy relative to the elements, uncorrected = 0.17 eV per atom

Unit cell a=3.6896 b=4.1873 c=5.6833 alpha=90.00 beta=108.14 gamma=90.00
Space group Pm (No. 6)
One atom of each set of equivalent atoms:
Ta1 0.0000 0.0000 0.0000 x1
Ag1 0.1794 0.5000 0.3481 x1
Sb1 0.4280 0.5000 0.8544 x1
Sb2 0.7137 0.0000 0.4263 x1



DFT (SCAN) results for a crystal of TcAgSb4 relaxed with PBEsol.

Calculated values
VASP energy = -34.932 eV/atom
D(E_F) = 0.653 states/eV per atom
Total magnetization = 15.73 μB per cell
Energy relative to the elements, uncorrected = 0.98 eV per atom

Unit cell a=8.4671 b=8.4671 c=8.4671 alpha=90.00 beta=90.00 gamma=90.00
Space group F-43m (No. 216)
One atom of each set of equivalent atoms:
Tc1 0.0000 0.0000 0.0000 x4
Ag1 0.2500 0.2500 0.2500 x4
Sb1 0.1248 0.1248 0.6248 x16